1.
ScPa2GaN5 (PBE, optimized geometry); space group = Cmc2_1, No. 36; final energy = -9.069 eV/atom; raw formation energy = -1294 meV/atom
1.0
-1.6702 2.1098 -1.9690
-4.9984 -3.7955 2.9964
-0.5145 6.6333 7.5440
N Pa Ga Sc
10 4 2 2
Cartesian
-2.6912 3.7426 3.4699
-6.3648 2.3139 5.0552
-1.0703 2.9077 1.2003
-4.2530 -1.8758 1.5978
-3.7114 2.7634 6.1092
-3.3746 0.9313 1.0373
-0.6239 0.1262 0.6645
-3.5835 5.5775 6.1929
-6.1495 2.5118 7.9078
-3.6981 0.6390 3.8217
-5.3074 0.2699 1.9682
-1.8154 3.9007 5.7196
-1.7223 1.1745 2.7195
-5.5004 4.2842 6.4333
-1.4962 7.4843 6.4655
-5.9240 0.5195 5.5818
-4.5056 2.7548 3.9506
-2.9328 5.4840 8.3640

=====

2.
Na2LaHfSe4 (PBE, optimized geometry); space group = P2/m, No. 10; final energy = -5.381 eV/atom; raw formation energy = -1449 meV/atom
1.0
4.0624 0.0000 0.0000
0.0000 7.1517 0.1361
0.0000 -2.4631 7.0303
Na Se La Hf
2 4 1 1
Cartesian
0.0000 2.3443 3.5832
2.0312 -1.2316 3.5152
0.0000 0.1009 5.4993
0.0000 4.5877 1.6670
2.0312 3.3186 5.4666
2.0312 1.3700 1.6998
0.0000 0.0000 0.0000
2.0312 3.5759 0.0680